Computed, not measured: a PBEsol-optimized structure of Hf3CBr at the meta-GGA SCAN level of DFT.

## Properties
Formation energy without anion corrections, eV/atom: 0.212
Crystal system: cubic
Fermi-level density of states, states/eV per cell: 4.826
Raw total energy, Ha/atom: -1.5914
E above lowest polymorph, eV per atom: 0.0000

a b c (Å): 4.499 4.499 4.499
angles (deg): 90.00 90.00 90.00
Space group Pm-3m (No. 221)
One atom of each set of equivalent atoms:
Hf 0.000 0.000 0.500 x3
C 0.000 0.000 0.000 x1
Br 0.500 0.500 0.500 x1

Computed, not measured: a PBEsol-optimized structure of HfTlOF2 at the meta-GGA SCAN level of DFT.

## Properties
Formation energy without anion corrections, eV/atom: -2.630
Crystal system: tetragonal
Fermi-level density of states, states/eV per cell: 1.660
Raw total energy, Ha/atom: -1.1870

a b c (Å): 4.336 4.336 4.038
angles (deg): 90.00 90.00 90.00
Space group P4/mmm (No. 123)
One atom of each set of equivalent atoms:
Hf 0.000 0.000 0.000 x1
Tl 0.500 0.500 0.500 x1
O 0.000 0.000 0.500 x1
F 0.000 0.500 0.000 x2

Computed, not measured: a PBEsol-optimized structure of MgZrMo at the meta-GGA SCAN level of DFT.

## Properties
Crystal system: trigonal
Fermi-level density of states, states/eV per cell: 2.988
Raw total energy, Ha/atom: -0.8555

a b c (Å): 4.8731 4.8731 2.6822
angles (deg): 90.00 90.00 120.00
Space group P3m1 (No. 156)
One atom of each set of equivalent atoms:
Mg 0.0000 0.0000 0.0000 x1
Zr 0.6667 0.3333 0.3680 x1
Mo 0.3333 0.6667 0.7189 x1

Computed, not measured: a PBEsol-optimized structure of CrCo3 at the meta-GGA SCAN level of DFT.

## Properties
Crystal system: hexagonal
Fermi-level density of states, states/eV per cell: 5.399
Raw total energy, Ha/atom: -0.6415
E above lowest polymorph, eV per atom: 0.0000

a b c (Å): 4.8976 4.8976 3.9014
angles (deg): 90.00 90.00 120.00
Space group P6_3/mmc (No. 194)
One atom of each set of equivalent atoms:
Cr 0.3333 0.6667 0.2500 x2
Co 0.1661 0.3321 0.7500 x6

Computed, not measured: a PBEsol-optimized structure of Cr4Fe at the meta-GGA SCAN level of DFT.

## Properties
Crystal system: tetragonal
Fermi-level density of states, states/eV per cell: 8.650
Raw total energy, Ha/atom: -0.6699

a b c (Å): 6.234 6.234 2.812
angles (deg): 90.00 90.00 90.00
Space group I4/m (No. 87)
One atom of each set of equivalent atoms:
Cr 0.106 0.696 0.000 x8
Fe 0.000 0.000 0.500 x2

Computed, not measured: a PBEsol-optimized structure of CsNbCl6 at the meta-GGA SCAN level of DFT.

## Properties
Formation energy without anion corrections, eV/atom: -1.663
Crystal system: monoclinic
Fermi-level density of states, states/eV per cell: 0.000
Raw total energy, Ha/atom: -0.6069

a b c (Å): 12.080 6.352 12.236
angles (deg): 90.00 101.76 90.00
Space group C2/c (No. 15)
One atom of each set of equivalent atoms:
Cs 0.000 0.107 0.250 x4
Nb 0.250 0.250 0.000 x4
Cl 0.079 0.389 0.895 x8
Cl 0.151 0.053 0.538 x8
Cl 0.214 0.415 0.163 x8

Computed, not measured: a PBEsol-optimized structure of Al2SiAs2 at the meta-GGA SCAN level of DFT.

## Properties
Formation energy without anion corrections, eV/atom: 0.268
Crystal system: tetragonal
Fermi-level density of states, states/eV per cell: 4.176
Raw total energy, Ha/atom: -0.4745

a b c (Å): 7.041 7.041 3.491
angles (deg): 90.00 90.00 90.00
Space group P4/mbm (No. 127)
One atom of each set of equivalent atoms:
Al 0.137 0.363 0.000 x4
Si 0.000 0.000 0.000 x2
As 0.168 0.668 0.500 x4

Computed, not measured: a PBEsol-optimized structure of CaCrSi2O6 at the meta-GGA SCAN level of DFT.

## Properties
Formation energy without anion corrections, eV/atom: -2.895
Crystal system: orthorhombic
Fermi-level density of states, states/eV per cell: 0.000
Raw total energy, Ha/atom: -0.4205
E above lowest polymorph, eV per atom: 0.0178

a b c (Å): 5.432 19.020 9.549
angles (deg): 90.00 90.00 90.00
Space group Pbca (No. 61)
One atom of each set of equivalent atoms:
Ca 0.113 0.124 0.146 x8
Cr 0.122 0.126 0.526 x8
Si 0.083 0.722 0.671 x8
Si 0.236 0.518 0.837 x8
O 0.021 0.534 0.718 x8
O 0.060 0.694 0.173 x8
O 0.075 0.685 0.520 x8
O 0.134 0.190 0.719 x8
O 0.181 0.568 0.969 x8
O 0.234 0.067 0.363 x8

Computed, not measured: a PBEsol-optimized structure of NbV2W at the meta-GGA SCAN level of DFT.

## Properties
Crystal system: cubic
Fermi-level density of states, states/eV per cell: 23.003
Raw total energy, Ha/atom: -1.2664

a b c (Å): 6.177 6.177 6.177
angles (deg): 90.00 90.00 90.00
Space group Fm-3m (No. 225)
One atom of each set of equivalent atoms:
Nb 0.000 0.000 0.000 x4
V 0.250 0.250 0.250 x8
W 0.000 0.000 0.500 x4

Computed, not measured: a PBEsol-optimized structure of Ta2RhAu at the meta-GGA SCAN level of DFT.

## Properties
Crystal system: tetragonal
Fermi-level density of states, states/eV per cell: 1.970
Raw total energy, Ha/atom: -2.1828

a b c (Å): 3.291 3.291 6.055
angles (deg): 90.00 90.00 90.00
Space group P4mm (No. 99)
One atom of each set of equivalent atoms:
Ta 0.000 0.000 0.000 x1
Ta 0.500 0.500 0.285 x1
Rh 0.500 0.500 0.790 x1
Au 0.000 0.000 0.526 x1

Computed, not measured: a PBEsol-optimized structure of Li2CdSb at the meta-GGA SCAN level of DFT.

## Properties
Formation energy without anion corrections, eV/atom: -0.400
Crystal system: tetragonal
Fermi-level density of states, states/eV per cell: 1.035
Raw total energy, Ha/atom: -0.6804
E above lowest polymorph, eV per atom: 0.0273

a b c (Å): 4.894 4.894 3.156
angles (deg): 90.00 90.00 90.00
Space group P4/mmm (No. 123)
One atom of each set of equivalent atoms:
Li 0.000 0.500 0.000 x2
Cd 0.000 0.000 0.500 x1
Sb 0.500 0.500 0.500 x1

Computed, not measured: a PBEsol-optimized structure of CdSi2W at the meta-GGA SCAN level of DFT.

## Properties
Formation energy without anion corrections, eV/atom: 1.060
Crystal system: tetragonal
Fermi-level density of states, states/eV per cell: 5.922
Raw total energy, Ha/atom: -1.0648

a b c (Å): 6.115 6.115 9.998
angles (deg): 90.00 90.00 90.00
Space group I-42d (No. 122)
One atom of each set of equivalent atoms:
Cd 0.000 0.000 0.000 x4
Si 0.218 0.750 0.625 x8
W 0.000 0.000 0.500 x4

Computed, not measured: a PBEsol-optimized structure of K2TcCl5O at the meta-GGA SCAN level of DFT.

## Properties
Formation energy without anion corrections, eV/atom: -1.574
Crystal system: orthorhombic
Raw total energy, Ha/atom: -0.4573

a b c (Å): 13.044 9.859 6.750
angles (deg): 90.00 90.00 90.00
Space group Pnma (No. 62)
One atom of each set of equivalent atoms:
K 0.144 0.001 0.165 x8
Tc 0.092 0.750 0.665 x4
Cl 0.001 0.750 0.967 x4
Cl 0.107 0.512 0.688 x8
Cl 0.222 0.750 0.421 x4
Cl 0.247 0.750 0.895 x4
O 0.005 0.250 0.486 x4

Computed, not measured: a PBEsol-optimized structure of BaPdIBr2 at the meta-GGA SCAN level of DFT.

## Properties
Formation energy without anion corrections, eV/atom: -0.544
Crystal system: tetragonal
Fermi-level density of states, states/eV per cell: 4.994
Raw total energy, Ha/atom: -1.1077

a b c (Å): 6.085 6.085 6.759
angles (deg): 90.00 90.00 90.00
Space group P4/mmm (No. 123)
One atom of each set of equivalent atoms:
Ba 0.000 0.000 0.000 x1
Pd 0.500 0.500 0.500 x1
I 0.000 0.000 0.500 x1
Br 0.000 0.500 0.000 x2

Computed, not measured: a PBEsol-optimized structure of FeSi2Ir at the meta-GGA SCAN level of DFT.

## Properties
Formation energy without anion corrections, eV/atom: -0.136
Crystal system: monoclinic
Fermi-level density of states, states/eV per cell: 1.824
Raw total energy, Ha/atom: -1.0088

a b c (Å): 2.776 3.787 4.870
angles (deg): 90.00 90.08 90.00
Space group P2/m (No. 10)
One atom of each set of equivalent atoms:
Fe 0.000 0.000 0.000 x1
Si 0.298 0.500 0.225 x2
Ir 0.500 0.000 0.500 x1

Computed, not measured: a PBEsol-optimized structure of ScMnHg3 at the meta-GGA SCAN level of DFT.

## Properties
Crystal system: cubic
Fermi-level density of states, states/eV per cell: 4.650
Raw total energy, Ha/atom: -1.7323

a b c (Å): 4.924 4.924 4.924
angles (deg): 90.00 90.00 90.00
Space group Pm-3m (No. 221)
One atom of each set of equivalent atoms:
Sc 0.000 0.000 0.000 x1
Mn 0.500 0.500 0.500 x1
Hg 0.000 0.500 0.500 x3

Computed, not measured: a PBEsol-optimized structure of Hf2ScGe2 at the meta-GGA SCAN level of DFT.

## Properties
Crystal system: tetragonal
Fermi-level density of states, states/eV per cell: 9.765
Raw total energy, Ha/atom: -1.3338

a b c (Å): 7.083 7.083 3.691
angles (deg): 90.00 90.00 90.00
Space group P4/mbm (No. 127)
One atom of each set of equivalent atoms:
Hf 0.168 0.332 0.000 x4
Sc 0.000 0.000 0.500 x2
Ge 0.132 0.632 0.500 x4

Computed, not measured: a PBEsol-optimized structure of LiAl2Se at the meta-GGA SCAN level of DFT.

## Properties
Formation energy without anion corrections, eV/atom: -0.068
Crystal system: tetragonal
Fermi-level density of states, states/eV per cell: 1.552
Raw total energy, Ha/atom: -0.3513

a b c (Å): 3.620 3.620 5.322
angles (deg): 90.00 90.00 90.00
Space group P4/mmm (No. 123)
One atom of each set of equivalent atoms:
Li 0.000 0.000 0.000 x1
Al 0.500 0.500 0.247 x2
Se 0.000 0.000 0.500 x1

Computed, not measured: a PBEsol-optimized structure of BaCaCd4 at the meta-GGA SCAN level of DFT.

## Properties
Crystal system: cubic
Fermi-level density of states, states/eV per cell: 15.857
Raw total energy, Ha/atom: -1.0593

a b c (Å): 8.597 8.597 8.597
angles (deg): 90.00 90.00 90.00
Space group F-43m (No. 216)
One atom of each set of equivalent atoms:
Ba 0.000 0.000 0.000 x4
Ca 0.250 0.250 0.250 x4
Cd 0.125 0.125 0.625 x16

Computed, not measured: a PBEsol-optimized structure of BiSb at the meta-GGA SCAN level of DFT.

## Properties
Formation energy without anion corrections, eV/atom: 0.011
Crystal system: trigonal
Fermi-level density of states, states/eV per cell: 0.606
Raw total energy, Ha/atom: -2.1281

a b c (Å): 4.4344 4.4344 11.3535
angles (deg): 90.00 90.00 120.00
Space group R3m (No. 160, hexagonal axes)
One atom of each set of equivalent atoms:
Bi 0.0000 0.0000 0.0000 x3
Sb 0.0000 0.0000 0.5269 x3

| no. | total magnetization (μB per formula unit) |
| --- | --- |
| 1 | 0.00 |
| 2 | 0.66 |
| 3 | 0.00 |
| 4 | 1.17 |
| 5 | 2.19 |
| 6 | 0.00 |
| 7 | 0.00 |
| 8 | 4.00 |
| 9 | 0.00 |
| 10 | 0.00 |
| 11 | 0.00 |
| 12 | 0.00 |
| 13 | 0.00 |
| 14 | 1.02 |
| 15 | 2.18 |
| 16 | 2.76 |
| 17 | 0.00 |
| 18 | 0.00 |
| 19 | 0.00 |
| 20 | 0.00 |